Entry w
! NdDySe3 | Alexandria via LeMat-Bulk | PBE-GGA | optimized geometry; values from VASP
! Total moment: 0.00 μB/cell
! Crystal system: monoclinic
! Theoretical density: 6486 kg/m3
! Symmetry: No. 11
&SYSTEM
  ibrav = 0, nat = 10, ntyp = 3
/
ATOMIC_SPECIES
Nd 144.24 Nd.upf
Dy 162.50 Dy.upf
Se 78.96 Se.upf
ATOMIC_POSITIONS crystal
Nd 0.121 0.250 0.271
Nd 0.879 0.750 0.729
Dy 0.354 0.750 0.824
Dy 0.646 0.250 0.176
Se 0.125 0.250 0.889
Se 0.184 0.750 0.524
Se 0.399 0.750 0.180
Se 0.601 0.250 0.820
Se 0.816 0.250 0.476
Se 0.875 0.750 0.111
CELL_PARAMETERS angstrom
8.170 0.000 0.000
0.000 4.124 0.000
-0.695 0.000 8.260

---

Entry x
! NdDySe3 | Alexandria via LeMat-Bulk | PBE-GGA | optimized geometry; values from VASP
! Total moment: 0.00 μB/cell
! Crystal system: orthorhombic
! Theoretical density: 6960 kg/m3
! Symmetry: No. 62
&SYSTEM
  ibrav = 0, nat = 20, ntyp = 3
/
ATOMIC_SPECIES
Nd 144.24 Nd.upf
Dy 162.50 Dy.upf
Se 78.96 Se.upf
ATOMIC_POSITIONS crystal
Nd 0.140 0.250 0.201
Nd 0.360 0.750 0.701
Nd 0.640 0.250 0.299
Nd 0.860 0.750 0.799
Dy 0.230 0.750 0.457
Dy 0.270 0.250 0.957
Dy 0.730 0.750 0.043
Dy 0.770 0.250 0.543
Se 0.009 0.250 0.394
Se 0.122 0.750 0.063
Se 0.151 0.250 0.784
Se 0.349 0.750 0.284
Se 0.378 0.250 0.563
Se 0.491 0.750 0.894
Se 0.509 0.250 0.106
Se 0.622 0.750 0.437
Se 0.651 0.250 0.716
Se 0.849 0.750 0.216
Se 0.878 0.250 0.937
Se 0.991 0.750 0.606
CELL_PARAMETERS angstrom
7.750 0.000 0.000
0.000 4.150 0.000
0.000 0.000 16.130

---

Most stable one: entry x, least stable one: entry w.

---

Entry w
! NdDySe2 | Alexandria via LeMat-Bulk | PBE-GGA | optimized geometry; values from VASP
! Total moment: 0.00 μB/cell
! Crystal system: monoclinic
! Theoretical density: 7614 kg/m3
! Symmetry: No. 12
&SYSTEM
  ibrav = 0, nat = 4, ntyp = 3
/
ATOMIC_SPECIES
Nd 144.24 Nd.upf
Dy 162.50 Dy.upf
Se 78.96 Se.upf
ATOMIC_POSITIONS crystal
Nd 0.000 0.000 0.000
Dy 0.500 0.500 0.500
Se 0.245 0.245 0.735
Se 0.755 0.755 0.265
CELL_PARAMETERS angstrom
3.567 -2.066 0.000
3.567 2.066 0.000
-2.395 0.000 6.875

---

Entry x
! NdDySe2 | Alexandria via LeMat-Bulk | PBE-GGA | optimized geometry; values from VASP
! Total moment: 0.00 μB/cell
! Crystal system: trigonal
! Theoretical density: 7528 kg/m3
! Symmetry: No. 160
&SYSTEM
  ibrav = 0, nat = 4, ntyp = 3
/
ATOMIC_SPECIES
Nd 144.24 Nd.upf
Dy 162.50 Dy.upf
Se 78.96 Se.upf
ATOMIC_POSITIONS crystal
Nd 0.000 0.000 0.000
Dy 0.177 0.177 0.177
Se 0.424 0.424 0.424
Se 0.586 0.586 0.586
CELL_PARAMETERS angstrom
2.014 1.163 7.295
-2.014 1.163 7.295
0.000 -2.326 7.295

---

Most stable one: entry w, least stable one: entry x.

---

Entry w
! NdDy2Se4 | Alexandria via LeMat-Bulk | PBE-GGA | optimized geometry; values from VASP
! Total moment: 0.00 μB/cell
! Crystal system: orthorhombic
! Theoretical density: 6941 kg/m3
! Symmetry: No. 62
&SYSTEM
  ibrav = 0, nat = 28, ntyp = 3
/
ATOMIC_SPECIES
Nd 144.24 Nd.upf
Dy 162.50 Dy.upf
Se 78.96 Se.upf
ATOMIC_POSITIONS crystal
Nd 0.250 0.250 0.171
Nd 0.250 0.750 0.671
Nd 0.750 0.250 0.329
Nd 0.750 0.750 0.829
Dy 0.058 0.250 0.386
Dy 0.097 0.250 0.909
Dy 0.403 0.750 0.409
Dy 0.442 0.750 0.886
Dy 0.558 0.250 0.114
Dy 0.597 0.250 0.591
Dy 0.903 0.750 0.091
Dy 0.942 0.750 0.614
Se 0.044 0.750 0.784
Se 0.100 0.250 0.576
Se 0.128 0.750 0.046
Se 0.198 0.750 0.320
Se 0.302 0.250 0.820
Se 0.372 0.250 0.546
Se 0.400 0.750 0.076
Se 0.456 0.250 0.284
Se 0.544 0.750 0.716
Se 0.600 0.250 0.924
Se 0.628 0.750 0.454
Se 0.698 0.750 0.180
Se 0.802 0.250 0.680
Se 0.872 0.250 0.954
Se 0.900 0.750 0.424
Se 0.956 0.250 0.216
CELL_PARAMETERS angstrom
12.645 0.000 0.000
0.000 4.036 0.000
0.000 0.000 14.722

---

Entry x
! NdDy2Se4 | Alexandria via LeMat-Bulk | PBE-GGA | optimized geometry; values from VASP
! Total moment: 0.00 μB/cell
! Crystal system: orthorhombic
! Theoretical density: 6899 kg/m3
! Symmetry: No. 63
&SYSTEM
  ibrav = 0, nat = 14, ntyp = 3
/
ATOMIC_SPECIES
Nd 144.24 Nd.upf
Dy 162.50 Dy.upf
Se 78.96 Se.upf
ATOMIC_POSITIONS crystal
Nd 0.125 0.875 0.750
Nd 0.875 0.125 0.250
Dy 0.370 0.630 0.568
Dy 0.370 0.630 0.932
Dy 0.630 0.370 0.068
Dy 0.630 0.370 0.432
Se 0.000 0.000 0.000
Se 0.000 0.000 0.500
Se 0.274 0.726 0.120
Se 0.274 0.726 0.380
Se 0.462 0.538 0.750
Se 0.538 0.462 0.250
Se 0.726 0.274 0.620
Se 0.726 0.274 0.880
CELL_PARAMETERS angstrom
2.015 -6.754 0.000
2.015 6.754 0.000
0.000 0.000 13.888

---

Most stable one: entry x, least stable one: entry w.